The following is a DFT calculation (GGA-PBE) of a relaxed Ce4PuPb5 crystal.

Unit cell a=4.230 b=4.230 c=16.393 alpha=90.00 beta=90.00 gamma=90.00
Fractional positions:
Ce  0.000  0.000  0.194
Ce  0.000  0.000  0.398
Ce  0.000  0.000  0.602
Ce  0.000  0.000  0.806
Pu  0.000  0.000  0.000
Pb  0.500  0.500  0.098
Pb  0.500  0.500  0.298
Pb  0.500  0.500  0.500
Pb  0.500  0.500  0.702
Pb  0.500  0.500  0.902

Output
- SG: P4/mmm, No. 123
- ΔH_f (0 K): -3.5 eV/f.u.

=====

The following is a DFT calculation (GGA-PBE) of a relaxed Ce2TeF crystal.

Unit cell a=4.010 b=4.010 c=7.300 alpha=74.06 beta=74.06 gamma=60.00
Fractional positions:
Te  0.500  0.500  0.500
Ce  0.269  0.269  0.193
Ce  0.731  0.731  0.807
F  0.000  0.000  0.000

Output
- SG: R-3m, No. 166
- Raw formation energy: -1.728 eV/atom

=====

The following is a DFT calculation (GGA-PBE) of a relaxed Ba2LiTlAs crystal.

Unit cell a=6.441 b=6.441 c=4.779 alpha=90.00 beta=90.00 gamma=90.00
Fractional positions:
As  0.000  0.000  0.000
Tl  0.500  0.500  0.500
Ba  0.000  0.500  0.000
Ba  0.500  0.000  0.000
Li  0.000  0.000  0.500

Output
- SG: P4/mmm, No. 123
- ΔH_f (0 K): -2.6 eV/f.u.

=====

The following is a DFT calculation (GGA-PBE) of a relaxed La2ScCdHg6 crystal.

Unit cell a=7.562 b=7.562 c=7.562 alpha=60.00 beta=60.00 gamma=90.00
Fractional positions:
La  0.250  0.750  0.500
La  0.750  0.250  0.500
Sc  0.500  0.500  0.000
Cd  0.000  0.000  0.000
Hg  0.252  0.748  0.000
Hg  0.748  0.748  0.000
Hg  0.252  0.252  0.497
Hg  0.748  0.252  0.000
Hg  0.252  0.252  0.000
Hg  0.748  0.748  0.503

Output
- SG: Fm-3m, No. 225
- ΔH_f (0 K): -0.4 eV/f.u.

=====

The following is a DFT calculation (GGA-PBE) of a relaxed Pm2Sm3Ho6Er crystal.

Unit cell a=6.185 b=6.185 c=11.786 alpha=95.00 beta=95.00 gamma=119.97
Fractional positions:
Pm  0.334  0.666  0.000
Pm  0.666  0.334  0.000
Sm  0.167  0.833  0.500
Sm  0.833  0.167  0.500
Sm  0.500  0.500  0.500
Ho  0.916  0.584  0.751
Ho  0.751  0.751  0.250
Ho  0.084  0.416  0.249
Ho  0.584  0.916  0.751
Ho  0.249  0.249  0.750
Ho  0.416  0.084  0.249
Er  0.000  0.000  0.000

Output
- SG: C2/m, No. 12
- ΔH_f (0 K): 0.2 eV/f.u.

=====

The following is a DFT calculation (GGA-PBE) of a relaxed Ca2H2CN2 crystal.

Unit cell a=3.768 b=3.768 c=8.069 alpha=90.00 beta=90.00 gamma=120.00
Fractional positions:
Ca  0.667  0.333  0.302
Ca  0.333  0.667  0.698
H  0.667  0.333  0.591
H  0.333  0.667  0.409
C  0.000  0.000  0.000
N  0.000  0.000  0.847
N  0.000  0.000  0.153

Output
- SG: P-3m1, No. 164

=====

We obtain energy values of -0.2211, -0.2186, -0.1130, -0.0708, -0.1700, -0.2195 hartree per atom for the records listed above, in that order.
We obtain D(E_F) values of 30.6, 12.1, 4.6, 12.0, 14.5, 0.0 states/eV per cell for the records listed above, in that order.
We obtain volume values of 29.33, 24.10, 39.65, 30.57, 32.05, 14.17 Å³/atom for the records listed above, in that order.